# SmHo12In3

A relaxed structure of SmHo12In3 (PBE, Alexandria).

Unit cell a=4.8434 b=4.8434 c=19.7388 alpha=90.00 beta=90.00 gamma=90.00
Closest atoms and distances in Å follow each position.
Element x y z (fractional)
Sm  0.0000  0.0000  0.0000  12 Ho 3.42-3.55
Ho  0.0000  0.5000  0.1316  8 Ho 3.42-3.55, 2 In 3.46, 2 Sm 3.55
Ho  0.0000  0.5000  0.3774  4 In 3.40-3.42, 8 Ho 3.41-3.42
Ho  0.0000  0.5000  0.6226  4 In 3.40-3.42, 8 Ho 3.41-3.42
Ho  0.0000  0.5000  0.8684  8 Ho 3.42-3.55, 2 In 3.46, 2 Sm 3.55
Ho  0.5000  0.0000  0.1316  8 Ho 3.42-3.55, 2 In 3.46, 2 Sm 3.55
Ho  0.5000  0.0000  0.3774  4 In 3.40-3.42, 8 Ho 3.41-3.42
Ho  0.5000  0.0000  0.6226  4 In 3.40-3.42, 8 Ho 3.41-3.42
Ho  0.5000  0.0000  0.8684  8 Ho 3.42-3.55, 2 In 3.46, 2 Sm 3.55
Ho  0.5000  0.5000  0.0000  4 Sm 3.42, 8 Ho 3.55
Ho  0.5000  0.5000  0.2558  8 Ho 3.41-3.45, 4 In 3.42
Ho  0.5000  0.5000  0.5000  8 Ho 3.42, 4 In 3.42
Ho  0.5000  0.5000  0.7442  8 Ho 3.41-3.45, 4 In 3.42
In  0.0000  0.0000  0.2566  12 Ho 3.40-3.46
In  0.0000  0.0000  0.5000  12 Ho 3.42
In  0.0000  0.0000  0.7434  12 Ho 3.40-3.46

Fermi-level density of states, states/eV per cell: 18.28
ΔE_f, eV per atom: -0.187
Spin magnetization, μB per formula unit: 0.00

=====

# LiLa2SbRu

A relaxed structure of LiLa2SbRu (PBE, Alexandria).

Unit cell a=5.3189 b=5.3189 c=4.8257 alpha=90.00 beta=90.00 gamma=90.00
Closest atoms and distances in Å follow each position.
Element x y z (fractional)
Li  0.0000  0.0000  0.0000  2 Ru 2.41
La  0.0000  0.5000  0.5000  2 Ru 2.66
La  0.5000  0.0000  0.5000  2 Ru 2.66
Sb  0.5000  0.5000  0.0000  8 La 3.59, 4 Li 3.76
Ru  0.0000  0.0000  0.5000  2 Li 2.41, 4 La 2.66

Energy relative to the elements, uncorrected, eV/f.u.: -2.3
Fermi-level density of states, states/eV per cell: 1.70
Spin magnetization, μB per formula unit: 0.00